1.
Compound: Rb2Ga2Ag
Source: Alexandria
Functional: PBE-GGA
Structure: relaxed

Cell: 3.940 3.940 11.501 Å, 80.14 80.14 90.00°
Positions (direct):
1 Rb 0.602 0.602 0.795
2 Ga 0.750 0.250 0.500
3 Ag 0.000 0.000 0.000
4 Ga 0.250 0.750 0.500
5 Rb 0.398 0.398 0.205

Results
- Formation enthalpy at 0 K: 0.090 eV/atom
- Crystal system: tetragonal
- Calculated total energy: -2.078 eV per atom
- Excess energy over the best structure of this formula in the dataset: 55 kJ/mol of formula units


2.
Compound: CoHRu2Rh
Source: Alexandria
Functional: PBE-GGA
Structure: relaxed

Cell: 3.825 3.825 3.828 Å, 90.00 90.00 90.00°
Each line ends with the local moment (μB).
Positions (direct):
1 Co 0.500 0.500 0.500  1.24
2 Ru 0.500 0.000 0.000  0.11
3 Ru 0.000 0.500 0.000  0.11
4 Rh 0.000 0.000 0.500  0.23
5 H 0.000 0.000 0.000  0.00

Results
- Crystal system: tetragonal
- Calculated total energy: -7.084 eV per atom
- Excess energy over the best structure of this formula in the dataset: 17 kJ/mol of formula units


3.
Compound: In2GeRhCl
Source: Alexandria
Functional: PBE-GGA
Structure: relaxed

Cell: 5.225 5.225 4.650 Å, 90.00 90.00 90.00°
Positions (direct):
1 In 0.500 0.000 0.000
2 In 0.000 0.500 0.000
3 Ge 0.000 0.000 0.500
4 Cl 0.500 0.500 0.500
5 Rh 0.000 0.000 0.000

Results
- Crystal system: tetragonal
- Formation energy from raw total energies: -0.4720 eV/atom
- Calculated total energy: -4.330 eV per atom


4.
Compound: CoI3
Source: Alexandria
Functional: PBE-GGA
Structure: relaxed

Cell: 7.679 7.679 7.423 Å, 58.85 58.85 90.00°
Each line ends with the local moment (μB).
Positions (direct):
1 I 0.000 0.000 0.000  -0.07
2 I 0.750 0.250 0.500  -0.09
3 I 0.512 0.125 0.250  0.10
4 I 0.875 0.762 0.750  0.13
5 I 0.238 0.625 0.250  0.11
6 I 0.375 0.488 0.750  0.13
7 Co 0.500 0.500 0.000  1.81
8 Co 0.250 0.750 0.500  1.79

Results
- Crystal system: tetragonal
- Formation energy from raw total energies: 0.2455 eV/atom
- Calculated total energy: -2.694 eV per atom


5.
Compound: La2Ir
Source: Alexandria
Functional: PBE-GGA
Structure: relaxed

Cell: 6.759 6.874 4.325 Å, 90.00 90.00 90.00°
Positions (direct):
1 Ir 0.000 0.000 0.000
2 Ir 0.500 0.500 0.500
3 La 0.222 0.831 0.500
4 La 0.278 0.331 0.000
5 La 0.778 0.169 0.500
6 La 0.722 0.669 0.000

Results
- Formation enthalpy at 0 K: -0.620 eV/atom
- Crystal system: orthorhombic
- Calculated total energy: -6.859 eV per atom


6.
Compound: CdHW2
Source: Alexandria
Functional: PBE-GGA
Structure: relaxed

Cell: 5.664 5.664 5.586 Å, 59.53 59.53 90.00°
Positions (direct):
1 W 0.375 0.625 0.750
2 W 0.375 0.125 0.250
3 Cd 0.750 0.250 0.500
4 Cd 0.000 0.000 0.000
5 W 0.875 0.625 0.750
6 W 0.375 0.625 0.250
7 H 0.500 0.500 0.000
8 H 0.250 0.750 0.500

Results
- Crystal system: tetragonal
- Calculated total energy: -6.683 eV per atom
- Excess energy over the best structure of this formula in the dataset: 0 kJ/mol of formula units


7.
Compound: ZrInFe2
Source: Alexandria
Functional: PBE-GGA
Structure: relaxed

Cell: 8.411 8.411 8.411 Å, 21.45 21.45 21.45°
Each line ends with the local moment (μB).
Positions (direct):
1 Fe 0.498 0.498 0.498  2.06
2 Fe 0.002 0.002 0.002  2.06
3 Zr 0.750 0.750 0.750  -0.43
4 In 0.250 0.250 0.250  -0.07

Results
- Formation enthalpy at 0 K: 0.356 eV/atom
- Crystal system: trigonal
- Calculated total energy: -6.697 eV per atom


8.
Compound: Pm5Si2Sn2
Source: Alexandria
Functional: PBE-GGA
Structure: relaxed

Cell: 8.031 8.026 8.786 Å, 90.00 62.80 90.00°
Positions (direct):
1 Si 0.887 0.614 0.000
2 Si 0.613 0.114 0.000
3 Pm 0.949 0.322 0.741
4 Sn 0.213 0.000 0.574
5 Pm 0.500 0.500 0.000
6 Si 0.113 0.386 0.000
7 Pm 0.051 0.678 0.259
8 Pm 0.000 0.000 0.000
9 Si 0.387 0.886 0.000
10 Pm 0.810 0.822 0.741
11 Pm 0.690 0.322 0.259
12 Pm 0.310 0.678 0.741
13 Sn 0.787 0.000 0.426
14 Pm 0.551 0.822 0.259
15 Pm 0.190 0.178 0.259
16 Pm 0.449 0.178 0.741
17 Sn 0.287 0.500 0.426
18 Sn 0.713 0.500 0.574

Results
- Crystal system: orthorhombic
- Formation energy from raw total energies: -0.7114 eV/atom
- Calculated total energy: -5.445 eV per atom
- Excess energy over the best structure of this formula in the dataset: 0 kJ/mol of formula units